1.
Material: Ca2Si2Ir
Method: DFT, PBE-GGA
State: optimized geometry

formation energy from raw total energies: 0.30 eV per atom
size of the total moment: 0.09 μB per atom
calculated density: 5.01 g cm⁻³

CIF file:
```
data_Ca2Si2Ir
_symmetry_space_group_name_H-M 'P 4/m b m'
_symmetry_Int_Tables_number 127
_symmetry_space_group_name_Hall '-P 4 2ab'
_cell_length_a 8.413
_cell_length_b 8.413
_cell_length_c 3.078
_cell_angle_alpha 90.00
_cell_angle_beta 90.00
_cell_angle_gamma 90.00
loop_
_atom_site_label
_atom_site_type_symbol
_atom_site_fract_x
_atom_site_fract_y
_atom_site_fract_z
_atom_site_occupancy
Ca1 Ca 0.203 0.297 0.000 1
Si1 Si 0.094 0.594 0.500 1
Ir1 Ir 0.000 0.000 0.000 1
```



2.
Material: CaSi2Ir3
Method: DFT, PBE-GGA
State: optimized geometry

formation energy from raw total energies: -0.72 eV per atom
size of the total moment: 0.00 μB per atom
calculated density: 11.33 g cm⁻³

CIF file:
```
data_CaSi2Ir3
_symmetry_space_group_name_H-M 'C 1 2/m 1'
_symmetry_Int_Tables_number 12
_cell_length_a 15.995
_cell_length_b 4.006
_cell_length_c 9.750
_cell_angle_alpha 90.00
_cell_angle_beta 108.79
_cell_angle_gamma 90.00
loop_
_symmetry_equiv_pos_as_xyz
'x,y,z'
'-x,-y,-z'
'-x,y,-z'
'x,-y,z'
'x+1/2,y+1/2,z'
'-x+1/2,-y+1/2,-z'
'-x+1/2,y+1/2,-z'
'x+1/2,-y+1/2,z'
loop_
_atom_site_label
_atom_site_type_symbol
_atom_site_fract_x
_atom_site_fract_y
_atom_site_fract_z
_atom_site_occupancy
Ca1 Ca 0.000 0.000 0.000 1
Ca2 Ca 0.158 0.000 0.698 1
Si1 Si 0.037 0.500 0.782 1
Si2 Si 0.138 0.500 0.448 1
Si3 Si 0.196 0.000 0.128 1
Ir1 Ir 0.000 0.500 0.500 1
Ir2 Ir 0.039 0.000 0.330 1
Ir3 Ir 0.121 0.500 0.198 1
Ir4 Ir 0.179 0.500 0.964 1
Ir5 Ir 0.217 0.000 0.393 1
```



3.
Material: CaSiIr2
Method: DFT, PBE-GGA
State: optimized geometry

formation energy from raw total energies: -0.20 eV per atom
size of the total moment: 0.00 μB per atom
calculated density: 11.94 g cm⁻³

CIF file:
```
data_CaSiIr2
_symmetry_space_group_name_H-M 'P 4/m m m'
_symmetry_Int_Tables_number 123
_symmetry_space_group_name_Hall '-P 4 2'
_cell_length_a 4.309
_cell_length_b 4.309
_cell_length_c 3.391
_cell_angle_alpha 90.00
_cell_angle_beta 90.00
_cell_angle_gamma 90.00
loop_
_atom_site_label
_atom_site_type_symbol
_atom_site_fract_x
_atom_site_fract_y
_atom_site_fract_z
_atom_site_occupancy
Ca1 Ca 0.000 0.000 0.000 1
Si1 Si 0.500 0.500 0.000 1
Ir1 Ir 0.000 0.500 0.500 1
```



4.
Material: CaSiIr2
Method: DFT, PBE-GGA
State: optimized geometry

formation energy from raw total energies: -0.27 eV per atom
size of the total moment: 0.00 μB per atom
calculated density: 10.90 g cm⁻³

CIF file:
```
data_CaSiIr2
_symmetry_space_group_name_H-M 'P 1 m 1'
_symmetry_Int_Tables_number 6
_cell_length_a 2.973
_cell_length_b 4.479
_cell_length_c 5.381
_cell_angle_alpha 90.00
_cell_angle_beta 105.90
_cell_angle_gamma 90.00
loop_
_symmetry_equiv_pos_as_xyz
'x,y,z'
'x,-y,z'
loop_
_atom_site_label
_atom_site_type_symbol
_atom_site_fract_x
_atom_site_fract_y
_atom_site_fract_z
_atom_site_occupancy
Ca1 Ca 0.000 0.000 0.000 1
Si1 Si 0.354 0.500 0.702 1
Ir1 Ir 0.264 0.000 0.517 1
Ir2 Ir 0.669 0.500 0.329 1
```



5.
Material: CaSiIr2
Method: DFT, PBE-GGA
State: optimized geometry

formation energy from raw total energies: -0.39 eV per atom
size of the total moment: 0.00 μB per atom
calculated density: 9.40 g cm⁻³

CIF file:
```
data_CaSiIr2
_symmetry_space_group_name_H-M 'C 1 2/m 1'
_symmetry_Int_Tables_number 12
_cell_length_a 7.318
_cell_length_b 4.225
_cell_length_c 5.726
_cell_angle_alpha 90.00
_cell_angle_beta 115.40
_cell_angle_gamma 90.00
loop_
_symmetry_equiv_pos_as_xyz
'x,y,z'
'-x,-y,-z'
'-x,y,-z'
'x,-y,z'
'x+1/2,y+1/2,z'
'-x+1/2,-y+1/2,-z'
'-x+1/2,y+1/2,-z'
'x+1/2,-y+1/2,z'
loop_
_atom_site_label
_atom_site_type_symbol
_atom_site_fract_x
_atom_site_fract_y
_atom_site_fract_z
_atom_site_occupancy
Ca1 Ca 0.000 0.000 0.000 1
Si1 Si 0.000 0.500 0.500 1
Ir1 Ir 0.198 0.000 0.595 1
```



6.
Material: Ca3Si2Ir
Method: DFT, PBE-GGA
State: optimized geometry

formation energy from raw total energies: -0.47 eV per atom
size of the total moment: 0.00 μB per atom
calculated density: 4.20 g cm⁻³

CIF file:
```
data_Ca3Si2Ir
_symmetry_space_group_name_H-M 'P 1 21/c 1'
_symmetry_Int_Tables_number 14
_cell_length_a 6.490
_cell_length_b 9.036
_cell_length_c 10.082
_cell_angle_alpha 90.00
_cell_angle_beta 99.80
_cell_angle_gamma 90.00
loop_
_symmetry_equiv_pos_as_xyz
'x,y,z'
'-x,-y,-z'
'-x,y+1/2,-z+1/2'
'x,-y+1/2,z+1/2'
loop_
_atom_site_label
_atom_site_type_symbol
_atom_site_fract_x
_atom_site_fract_y
_atom_site_fract_z
_atom_site_occupancy
Ca1 Ca 0.108 0.063 0.343 1
Ca2 Ca 0.233 0.096 0.956 1
Ca3 Ca 0.390 0.683 0.203 1
Si1 Si 0.144 0.742 0.428 1
Si2 Si 0.495 0.116 0.564 1
Ir1 Ir 0.199 0.175 0.662 1
```